First-principles (PBE) data for a geometry-optimized Na3Er3MnS8 structure, as listed in Alexandria.

```
Na3Er3MnS8
1.0
-2.646 -0.399 -7.206
7.395 -1.506 1.467
-5.560 -5.376 2.340
Na Er Mn S
3 3 1 8
direct
0.000 0.000 0.000 Na
0.000 0.500 0.000 Na
0.500 0.500 0.000 Na
0.500 0.000 0.500 Er
0.500 0.500 0.500 Er
0.000 0.500 0.500 Er
0.000 0.000 0.500 Mn
0.258 0.516 0.274 S
0.742 0.484 0.726 S
0.781 0.562 0.293 S
0.219 0.438 0.707 S
0.781 0.012 0.293 S
0.219 0.988 0.707 S
0.231 0.012 0.293 S
0.769 0.988 0.707 S
```

Computed properties:
* symmetry: No. 166
* formation energy from raw total energies: -1534 meV/atom



First-principles (PBE) data for a geometry-optimized Na4Er3MnS8 structure, as listed in Alexandria.

```
Na4Er3MnS8
1.0
-7.396 -0.790 -2.138
2.213 -5.139 -5.758
2.093 -1.458 7.309
Na Er Mn S
4 3 1 8
direct
0.500 0.000 0.000 Na
0.500 0.000 0.500 Na
0.000 0.000 0.000 Na
0.000 0.000 0.500 Na
0.500 0.500 0.000 Er
0.500 0.500 0.500 Er
0.000 0.500 0.500 Er
0.000 0.500 0.000 Mn
0.230 0.718 0.987 S
0.231 0.718 0.462 S
0.257 0.272 0.515 S
0.757 0.718 0.987 S
0.243 0.282 0.013 S
0.743 0.728 0.485 S
0.769 0.282 0.538 S
0.770 0.282 0.013 S
```

Computed properties:
* symmetry: No. 166
* D(E_F): 2.44 states/eV/f.u.
* formation energy from raw total energies: -1558 meV/atom



Number 1: V 345.40 Å³ per cell. Number 2: V 346.09 Å³ per cell.